1.
SrHoGa6 | the Alexandria database | PBE-GGA | relaxed; space-group type = No. 25; M_tot = 0.0 μB per formula unit; V = 21.42 Å³/atom; calculated formation energy = -0.398 eV per atom
1.0
4.3982 0.0000 0.0000
0.0000 6.4961 0.0000
0.0000 0.0000 5.9969
Sr Ho Ga
1 1 6
Direct
0.0000 0.0000 0.0000 Sr
0.5000 0.5000 0.2385 Ho
0.0000 0.2630 0.4738 Ga
0.0000 0.5000 0.8854 Ga
0.0000 0.7370 0.4738 Ga
0.5000 0.0000 0.4200 Ga
0.5000 0.2831 0.7579 Ga
0.5000 0.7169 0.7579 Ga

=====

2.
LiPrY2Pd4 | the Alexandria database | PBE-GGA | relaxed; space-group type = No. 166; M_tot = 0.0 μB per formula unit; V = 21.05 Å³/atom; calculated formation energy = -0.724 eV per atom
1.0
2.4490 1.4139 8.1074
-2.4490 1.4139 8.1074
0.0000 -2.8278 8.1074
Li Pr Y Pd
1 1 2 4
Direct
0.0000 0.0000 0.0000 Li
0.5000 0.5000 0.5000 Pr
0.2610 0.2610 0.2610 Y
0.7390 0.7390 0.7390 Y
0.1147 0.1147 0.1147 Pd
0.3782 0.3782 0.3782 Pd
0.6218 0.6218 0.6218 Pd
0.8853 0.8853 0.8853 Pd

=====

3.
Hf3SnGe | the Alexandria database | PBE-GGA | relaxed; space-group type = No. 11; M_tot = 0.0 μB per formula unit; ΔE to the lowest computed polymorph = 0.0 meV per atom; V = 23.65 Å³/atom; calculated formation energy = -0.252 eV per atom
1.0
7.7774 0.0000 0.0000
0.0000 3.7772 0.0000
-0.4373 0.0000 8.0488
Hf Sn Ge
6 2 2
Direct
0.1058 0.2500 0.3681 Hf
0.3445 0.2500 0.9730 Hf
0.3670 0.7500 0.6255 Hf
0.6330 0.2500 0.3745 Hf
0.6555 0.7500 0.0270 Hf
0.8942 0.7500 0.6319 Hf
0.3581 0.7500 0.2509 Sn
0.6419 0.2500 0.7491 Sn
0.1343 0.2500 0.7028 Ge
0.8657 0.7500 0.2972 Ge

=====

4.
PmSbIr | the Alexandria database | PBE-GGA | relaxed; space-group type = No. 107; raw formation energy = -0.429 eV/atom; M_tot = 0.0 μB per formula unit; ΔE to the lowest computed polymorph = 445.2 meV per atom; V = 22.73 Å³/atom
1.0
3.4819 0.0000 0.0000
0.0000 3.4819 0.0000
0.0000 0.0000 11.2500
Pm Sb Ir
2 2 2
Direct
0.0000 0.0000 0.0000 Pm
0.5000 0.5000 0.5000 Pm
0.0000 0.0000 0.2863 Sb
0.5000 0.5000 0.7863 Sb
0.0000 0.0000 0.6698 Ir
0.5000 0.5000 0.1698 Ir

=====

5.
Sm4S | the Alexandria database | PBE-GGA | relaxed; space-group type = No. 221; raw formation energy = -0.670 eV/atom; M_tot = 0.0 μB per formula unit; V = 32.21 Å³/atom
1.0
5.4404 0.0000 0.0000
0.0000 5.4404 0.0000
0.0000 0.0000 5.4404
Sm S
4 1
Direct
0.0000 0.0000 0.0000 Sm
0.0000 0.5000 0.5000 Sm
0.5000 0.0000 0.5000 Sm
0.5000 0.5000 0.0000 Sm
0.5000 0.5000 0.5000 S

=====

> Number 2 is which compound?

LiPrY2Pd4